Arrangement 1

Below is BeTlCo2 after structural relaxation, with properties calculated at the GGA-PBEsol level.

abc: 3.758 3.758 8.572
angles: 102.66 102.66 90.00
Element x y z (fractional)
Co 0.125 0.520 0.750
Be 0.500 0.500 0.000
Tl 0.250 0.750 0.500
Co 0.480 0.375 0.250
Co 0.625 0.230 0.750
Be 0.750 0.250 0.500
Co 0.770 0.875 0.250
Tl 0.000 0.000 0.000

Output
M_tot in Bohr magnetons per cell: 4.5
SG: I-42d (122)

=====

Arrangement 2

Below is BeTlCo2 after structural relaxation, with properties calculated at the GGA-PBEsol level.

abc: 3.786 3.786 4.953
angles: 67.53 67.53 60.00
Element x y z (fractional)
Tl 0.500 0.500 0.500
Be 0.000 0.000 0.000
Co 0.696 0.696 0.912
Co 0.304 0.304 0.088

Output
M_tot in Bohr magnetons per cell: 2.2
SG: R-3m (166)

=====

Computed stability ranking, most favorable first: arrangement 2, arrangement 1

=====

Arrangement 1

Below is Be2CoW after structural relaxation, with properties calculated at the GGA-PBEsol level.

abc: 3.482 3.491 3.491
angles: 90.00 90.00 90.00
Element x y z (fractional)
Be 0.000 0.500 0.000
Be 0.000 0.000 0.500
Co 0.500 0.500 0.500
W 0.500 0.000 0.000

Output
M_tot in Bohr magnetons per cell: 0.6
SG: P4/mmm (123)

=====

Arrangement 2

Below is Be2CoW after structural relaxation, with properties calculated at the GGA-PBEsol level.

abc: 2.512 4.438 4.438
angles: 113.77 98.45 98.45
Element x y z (fractional)
Be 0.000 0.000 0.500
W 0.500 0.500 0.500
Co 0.500 0.000 0.000
Be 0.000 0.500 0.000

Output
M_tot in Bohr magnetons per cell: 0.0
SG: C2/m (12)

=====

Computed stability ranking, most favorable first: arrangement 1, arrangement 2

=====

Arrangement 1

Below is YBeCo after structural relaxation, with properties calculated at the GGA-PBEsol level.

abc: 4.307 4.307 4.307
angles: 60.00 60.00 60.00
Element x y z (fractional)
Y 0.250 0.250 0.250
Co 0.500 0.500 0.500
Be 0.000 0.000 0.000

Output
M_tot in Bohr magnetons per cell: 0.0
SG: F-43m (216)

=====

Arrangement 2

Below is YBeCo after structural relaxation, with properties calculated at the GGA-PBEsol level.

abc: 3.756 3.756 3.828
angles: 90.00 90.00 120.00
Element x y z (fractional)
Be 0.000 0.000 0.000
Co 0.333 0.667 0.000
Y 0.667 0.333 0.500

Output
M_tot in Bohr magnetons per cell: 0.0
SG: P-6m2 (187)

=====

Computed stability ranking, most favorable first: arrangement 2, arrangement 1

=====

Arrangement 1

Below is BeZnCo2 after structural relaxation, with properties calculated at the GGA-PBEsol level.

abc: 2.921 3.735 3.803
angles: 90.00 90.00 90.00
Element x y z (fractional)
Be 0.000 0.500 0.500
Co 0.500 0.000 0.500
Co 0.000 0.000 0.000
Zn 0.500 0.500 0.000

Output
M_tot in Bohr magnetons per cell: 2.4
SG: Pmmm (47)

=====

Arrangement 2

Below is BeZnCo2 after structural relaxation, with properties calculated at the GGA-PBEsol level.

abc: 2.653 2.653 5.638
angles: 90.00 90.00 90.00
Element x y z (fractional)
Be 0.500 0.500 0.500
Co 0.000 0.000 0.284
Co 0.000 0.000 0.716
Zn 0.500 0.500 0.000

Output
M_tot in Bohr magnetons per cell: 1.1
SG: P4/mmm (123)

=====

Computed stability ranking, most favorable first: arrangement 2, arrangement 1

=====

Arrangement 1

Below is Be2Cr after structural relaxation, with properties calculated at the GGA-PBEsol level.

abc: 4.167 4.167 6.830
angles: 90.00 90.00 120.00
Element x y z (fractional)
Be 0.000 0.000 0.000
Be 0.170 0.341 0.250
Cr 0.667 0.333 0.062
Cr 0.333 0.667 0.938
Be 0.830 0.170 0.750
Cr 0.333 0.667 0.562
Cr 0.667 0.333 0.438
Be 0.000 0.000 0.500
Be 0.659 0.830 0.250
Be 0.170 0.830 0.250
Be 0.830 0.659 0.750
Be 0.341 0.170 0.750

Output
M_tot in Bohr magnetons per cell: 0.0
SG: P6_3/mmc (194)

=====

Arrangement 2

Below is Be2Cr after structural relaxation, with properties calculated at the GGA-PBEsol level.

abc: 2.247 3.864 6.607
angles: 90.00 99.79 90.00
Element x y z (fractional)
Cr 0.714 0.250 0.428
Be 0.948 0.750 0.897
Be 0.396 0.250 0.792
Cr 0.286 0.750 0.572
Be 0.052 0.250 0.103
Be 0.604 0.750 0.208

Output
M_tot in Bohr magnetons per cell: 0.0
SG: Cmcm (63)

=====

Arrangement 3

Below is Be2Cr after structural relaxation, with properties calculated at the GGA-PBEsol level.

abc: 2.506 3.526 3.526
angles: 120.00 90.00 90.00
Element x y z (fractional)
Cr 0.000 0.000 0.000
Be 0.500 0.333 0.667
Be 0.500 0.667 0.333

Output
M_tot in Bohr magnetons per cell: 0.6
SG: P6/mmm (191)

=====

Computed stability ranking, most favorable first: arrangement 1, arrangement 3, arrangement 2

=====

Arrangement 1

Below is BeCrFe after structural relaxation, with properties calculated at the GGA-PBEsol level.

abc: 2.701 2.701 4.362
angles: 108.04 108.04 90.00
Element x y z (fractional)
Be 0.995 0.995 0.990
Cr 0.671 0.671 0.343
Fe 0.334 0.334 0.668

Output
M_tot in Bohr magnetons per cell: 0.0
SG: I4mm (107)

=====

Arrangement 2

Below is BeCrFe after structural relaxation, with properties calculated at the GGA-PBEsol level.

abc: 2.440 2.440 5.749
angles: 90.00 90.00 120.00
Element x y z (fractional)
Be 0.000 0.000 0.009
Cr 0.333 0.667 0.661
Fe 0.667 0.333 0.330

Output
M_tot in Bohr magnetons per cell: 0.0
SG: P3m1 (156)

=====

Computed stability ranking, most favorable first: arrangement 1, arrangement 2